Crystalline K2TaCr at its relaxed geometry, computed with PBE-GGA.

abc: 6.8783 6.8783 2.9572
angles: 90.00 90.00 129.00
With the nearest neighbours (Å) after each atom.
Sites, in units of the cell vectors:
Cr 0.0000 0.5000 0.5000  2 Cr 2.96, 2 Ta 2.96
K 0.0000 0.0000 0.0000  4 K 2.96
K 0.5000 0.5000 0.0000  4 K 2.96
Ta 0.5000 0.0000 0.5000  2 Ta 2.96, 2 Cr 2.96

electronic total energy = -4.430 eV per atom
DOS at the Fermi energy = 0.93 states/eV per atom
energy relative to the lowest polymorph listed for this composition = 632.8 meV per atom
formation enthalpy at 0 K = 1.487 eV per atom